[1]
A plane-wave DFT calculation with PBE was carried out for crystalline PaBe2Co3 at its relaxed geometry.

Lattice parameters (Å, degrees): 4.9671 4.9671 3.3597 90.00 90.00 120.00
Element x y z (fractional)
Pa 0.0000 0.0000 0.0000
Be 0.3333 0.6667 0.0000
Be 0.6667 0.3333 0.0000
Co 0.0000 0.5000 0.5000
Co 0.5000 0.0000 0.5000
Co 0.5000 0.5000 0.5000

Properties
Formation energy (eV/atom): -0.377
Total magnetic moment (μB per formula unit): 0.000
SG: P6/mmm, No. 191
Calculated density (Mg/m³): 9.85



[2]
A plane-wave DFT calculation with PBE was carried out for crystalline Pa3Be2Co5 at its relaxed geometry.

Lattice parameters (Å, degrees): 9.2266 9.2266 3.4074 90.00 90.00 90.00
Element x y z (fractional)
Pa 0.0000 0.0000 0.0000
Pa 0.1745 0.3255 0.0000
Pa 0.3255 0.8255 0.0000
Pa 0.5000 0.5000 0.0000
Pa 0.6745 0.1745 0.0000
Pa 0.8255 0.6745 0.0000
Be 0.1173 0.6173 0.0000
Be 0.3827 0.1173 0.0000
Be 0.6173 0.8827 0.0000
Be 0.8827 0.3827 0.0000
Co 0.0000 0.5000 0.5000
Co 0.0729 0.7760 0.5000
Co 0.2240 0.0729 0.5000
Co 0.2760 0.5729 0.5000
Co 0.4271 0.2760 0.5000
Co 0.5000 0.0000 0.5000
Co 0.5729 0.7240 0.5000
Co 0.7240 0.4271 0.5000
Co 0.7760 0.9271 0.5000
Co 0.9271 0.2240 0.5000

Properties
Formation energy (eV/atom): -0.250
Total magnetic moment (μB per formula unit): 0.000
SG: P4/mbm, No. 127
Calculated density (Mg/m³): 11.52



[3]
A plane-wave DFT calculation with PBE was carried out for crystalline PaBe17Co at its relaxed geometry.

Lattice parameters (Å, degrees): 5.6862 5.6862 5.6862 83.21 83.21 83.21
Element x y z (fractional)
Pa 0.0000 0.0000 0.0000
Be 0.0481 0.3554 0.6322
Be 0.0481 0.6322 0.3554
Be 0.2185 0.6832 0.6832
Be 0.2498 0.2498 0.2498
Be 0.3367 0.3367 0.8501
Be 0.3367 0.8501 0.3367
Be 0.3554 0.0481 0.6322
Be 0.3554 0.6322 0.0481
Be 0.4443 0.4443 0.4443
Be 0.5045 0.9964 0.9964
Be 0.6322 0.0481 0.3554
Be 0.6322 0.3554 0.0481
Be 0.6832 0.2185 0.6832
Be 0.6832 0.6832 0.2185
Be 0.8501 0.3367 0.3367
Be 0.9964 0.5045 0.9964
Be 0.9964 0.9964 0.5045
Co 0.6562 0.6562 0.6562

Properties
Formation energy (eV/atom): 0.021
Total magnetic moment (μB per formula unit): 0.000
SG: R3m, No. 160
Calculated density (Mg/m³): 4.08